Density functional theory data (PBE-GGA) for WCl after structural relaxation.

The space group is P4/mmm (No. 123) and the conventional cell measures 2.8052, 2.8052 and 4.1708 Å, with angles of 90.00, 90.00 and 90.00 degrees. The inequivalent atoms are W at (0.0000, 0.0000, 0.0000) and Cl at (0.5000, 0.5000, 0.5000).

The crystal system is tetragonal. Its uncorrected energy is -5.885 eV/atom.

=====

Density functional theory data (PBE-GGA) for DyPb2BrO4 after structural relaxation.

The space group is P4/mmm (No. 123) and the conventional cell measures 3.9909, 3.9909 and 9.1883 Å, with angles of 90.00, 90.00 and 90.00 degrees. The inequivalent atoms are Dy at (0.0000, 0.0000, 0.0000), Pb at (0.5000, 0.5000, 0.2634), Br at (0.0000, 0.0000, 0.5000) and O at (0.0000, 0.5000, 0.1428).

The crystal system is tetragonal. Its uncorrected energy is -5.865 eV/atom.

=====

Density functional theory data (PBE-GGA) for NaNb3I after structural relaxation.

The space group is Pm-3m (No. 221) and the conventional cell measures 5.1248, 5.1248 and 5.1248 Å, with angles of 90.00, 90.00 and 90.00 degrees. The inequivalent atoms are Na at (0.0000, 0.0000, 0.0000), Nb at (0.0000, 0.5000, 0.5000) and I at (0.5000, 0.5000, 0.5000).

The crystal system is cubic. Its uncorrected energy is -4.949 eV/atom.

=====

Density functional theory data (PBE-GGA) for LiAu2 after structural relaxation.

The space group is I4_1/amd (No. 141, origin choice 2) and the conventional cell measures 3.9917, 3.9917 and 25.0271 Å, with angles of 90.00, 90.00 and 90.00 degrees. The inequivalent atoms are Li at (0.0000, 0.2500, 0.2943), Au at (0.0000, 0.2500, 0.1232) and Au at (0.0000, 0.2500, 0.7891).

The crystal system is tetragonal. The value obtained for the energy of formation is -411 meV/atom.

=====

Density functional theory data (PBE-GGA) for BaMgHg2Pb after structural relaxation.

The space group is I-4m2 (No. 119) and the conventional cell measures 4.7873, 4.7873 and 13.2698 Å, with angles of 90.00, 90.00 and 90.00 degrees. The inequivalent atoms are Ba at (0.0000, 0.0000, 0.0000), Mg at (0.0000, 0.5000, 0.7500), Hg at (0.0000, 0.0000, 0.3903) and Pb at (0.0000, 0.5000, 0.2500).

The crystal system is tetragonal. The value obtained for the energy of formation is -366 meV/atom.

=====

Density functional theory data (PBE-GGA) for BaBi2Cl2 after structural relaxation.

The space group is P4/mbm (No. 127) and the conventional cell measures 9.3816, 9.3816 and 3.5683 Å, with angles of 90.00, 90.00 and 90.00 degrees. The inequivalent atoms are Ba at (0.0000, 0.0000, 0.0000), Bi at (0.2002, 0.2998, 0.5000) and Cl at (0.1258, 0.6258, 0.0000).

The crystal system is tetragonal. Its uncorrected energy is -3.255 eV/atom.

=====

Density functional theory data (PBE-GGA) for Be17Fe2 after structural relaxation.

The space group is R-3m (No. 166, hexagonal axes) and the conventional cell measures 7.0999, 7.0999 and 10.5188 Å, with angles of 90.00, 90.00 and 120.00 degrees. The inequivalent atoms are Be at (0.0000, 0.0000, 0.1026), Be at (0.0000, 0.3113, 0.0000), Be at (0.0000, 0.5000, 0.5000), Be at (0.0074, 0.5037, 0.1545) and Fe at (0.0000, 0.0000, 0.3326).

The crystal system is trigonal. The value obtained for the energy of formation is -64 meV/atom.

=====

Density functional theory data (PBE-GGA) for Ho6AlRh after structural relaxation.

The space group is C2/m (No. 12) and the conventional cell measures 6.8112, 11.4509 and 6.5893 Å, with angles of 90.00, 115.00 and 90.00 degrees. The inequivalent atoms are Ho at (0.2279, 0.1943, 0.2478), Ho at (0.2339, 0.0000, 0.7657), Al at (0.0000, 0.5000, 0.5000) and Rh at (0.0000, 0.0000, 0.0000).

The crystal system is monoclinic. The value obtained for the energy of formation is -104 meV/atom.

=====

Density functional theory data (PBE-GGA) for CsK2BrF after structural relaxation.

The space group is P4/mmm (No. 123) and the conventional cell measures 5.2684, 5.2684 and 7.6423 Å, with angles of 90.00, 90.00 and 90.00 degrees. The inequivalent atoms are Cs at (0.0000, 0.0000, 0.0000), K at (0.0000, 0.5000, 0.5000), Br at (0.5000, 0.5000, 0.0000) and F at (0.0000, 0.0000, 0.5000).

The crystal system is tetragonal. Its uncorrected energy is -2.925 eV/atom.

=====

Density functional theory data (PBE-GGA) for CsSrAu after structural relaxation.

The space group is I4mm (No. 107) and the conventional cell measures 4.1558, 4.1558 and 16.0307 Å, with angles of 90.00, 90.00 and 90.00 degrees. The inequivalent atoms are Cs at (0.0000, 0.0000, 0.0000), Sr at (0.0000, 0.0000, 0.2466) and Au at (0.0000, 0.0000, 0.6598).

The crystal system is tetragonal. The value obtained for the energy of formation is -324 meV/atom.

=====

Density functional theory data (PBE-GGA) for LaCd4Au2 after structural relaxation.

The space group is Cmmm (No. 65) and the conventional cell measures 4.3099, 17.9580 and 4.2649 Å, with angles of 90.00, 90.00 and 90.00 degrees. The inequivalent atoms are La at (0.0000, 0.0000, 0.0000), Cd at (0.0000, 0.1818, 0.5000), Cd at (0.0000, 0.3161, 0.0000) and Au at (0.0000, 0.4241, 0.5000).

The crystal system is orthorhombic. The value obtained for the energy of formation is -388 meV/atom.

=====

Density functional theory data (PBE-GGA) for Rb3Sc3InSe8 after structural relaxation.

The space group is C2/m (No. 12) and the conventional cell measures 13.7454, 7.9069 and 9.3731 Å, with angles of 90.00, 119.36 and 90.00 degrees. The inequivalent atoms are Rb at (0.0000, 0.0000, 0.0000), Rb at (0.2500, 0.2500, 0.0000), Sc at (0.0000, 0.5000, 0.5000), Sc at (0.2500, 0.2500, 0.5000), In at (0.0000, 0.0000, 0.5000), Se at (0.0232, 0.2581, 0.3113), Se at (0.2290, 0.5000, 0.6870) and Se at (0.2352, 0.0000, 0.6888).

The crystal system is monoclinic. Its uncorrected energy is -4.829 eV/atom.

=====

Density functional theory data (PBE-GGA) for HoPF after structural relaxation.

The space group is P-6m2 (No. 187) and the conventional cell measures 3.8627, 3.8627 and 4.1467 Å, with angles of 90.00, 90.00 and 120.00 degrees. The inequivalent atoms are Ho at (0.0000, 0.0000, 0.0000), P at (0.6667, 0.3333, 0.5000) and F at (0.3333, 0.6667, 0.0000).

The crystal system is hexagonal. Its uncorrected energy is -6.007 eV/atom.

=====

Density functional theory data (PBE-GGA) for HgP2SO after structural relaxation.

The space group is P4/mmm (No. 123) and the conventional cell measures 5.0703, 5.0703 and 4.8581 Å, with angles of 90.00, 90.00 and 90.00 degrees. The inequivalent atoms are Hg at (0.0000, 0.0000, 0.0000), P at (0.0000, 0.5000, 0.0000), S at (0.0000, 0.0000, 0.5000) and O at (0.5000, 0.5000, 0.5000).

The crystal system is tetragonal. Its uncorrected energy is -2.151 eV/atom.

=====

Density functional theory data (PBE-GGA) for K2InRh after structural relaxation.

The space group is Cm (No. 8) and the conventional cell measures 7.9210, 4.5682 and 9.0878 Å, with angles of 90.00, 105.86 and 90.00 degrees. The inequivalent atoms are K at (0.0000, 0.0000, 0.0000), K at (0.1689, 0.0000, 0.5399), In at (0.4178, 0.0000, 0.2698) and Rh at (0.2512, 0.5000, 0.2706).

The crystal system is monoclinic. The value obtained for the energy of formation is 19 meV/atom.

=====

Density functional theory data (PBE-GGA) for KAlZnMo2 after structural relaxation.

The space group is P4/mmm (No. 123) and the conventional cell measures 4.6311, 4.6311 and 4.8342 Å, with angles of 90.00, 90.00 and 90.00 degrees. The inequivalent atoms are K at (0.0000, 0.0000, 0.0000), Al at (0.5000, 0.5000, 0.5000), Zn at (0.0000, 0.0000, 0.5000) and Mo at (0.0000, 0.5000, 0.0000).

The crystal system is tetragonal. The value obtained for the energy of formation is 2671 meV/atom.

=====

Density functional theory data (PBE-GGA) for Sc2CrRe after structural relaxation.

The space group is R-3m (No. 166, hexagonal axes) and the conventional cell measures 3.0558, 3.0558 and 28.7467 Å, with angles of 90.00, 90.00 and 120.00 degrees. The inequivalent atoms are Sc at (0.0000, 0.0000, 0.0939), Cr at (0.0000, 0.0000, 0.0000) and Re at (0.0000, 0.0000, 0.5000).

The crystal system is trigonal. The value obtained for the energy of formation is 547 meV/atom.

=====

Density functional theory data (PBE-GGA) for Zr5NbN6 after structural relaxation.

The space group is C2/m (No. 12) and the conventional cell measures 5.6225, 9.7408 and 5.6168 Å, with angles of 90.00, 109.53 and 90.00 degrees. The inequivalent atoms are Zr at (0.0000, 0.0000, 0.0000), Zr at (0.0000, 0.1663, 0.5000), Zr at (0.0000, 0.3357, 0.0000), Nb at (0.0000, 0.5000, 0.5000), N at (0.2487, 0.0000, 0.7510) and N at (0.2488, 0.1677, 0.2495).

The crystal system is monoclinic. Its uncorrected energy is -10.122 eV/atom.

=====

Density functional theory data (PBE-GGA) for Li3Sn4Pd2 after structural relaxation.

The space group is C2/m (No. 12) and the conventional cell measures 8.0258, 4.5336 and 9.4733 Å, with angles of 90.00, 92.91 and 90.00 degrees. The inequivalent atoms are Li at (0.0000, 0.0000, 0.0000), Li at (0.1677, 0.5000, 0.5417), Sn at (0.0000, 0.0000, 0.3385), Sn at (0.1702, 0.5000, 0.8729) and Pd at (0.1647, 0.5000, 0.2496).

The crystal system is monoclinic. The value obtained for the energy of formation is -423 meV/atom.

=====

Density functional theory data (PBE-GGA) for Pm8Er2Sc after structural relaxation.

The space group is C2/m (No. 12) and the conventional cell measures 18.9448, 6.9879 and 5.7200 Å, with angles of 90.00, 92.89 and 90.00 degrees. The inequivalent atoms are Pm at (0.0450, 0.0000, 0.2332), Pm at (0.1291, 0.2357, 0.7376), Pm at (0.1841, 0.5000, 0.2282), Er at (0.2165, 0.0000, 0.2606) and Sc at (0.0000, 0.5000, 0.0000).

The crystal system is monoclinic. The value obtained for the energy of formation is 182 meV/atom.

=====

Asked for spin magnetization across the records above, the calculation gives 0.0 0.0 2.9 0.0 0.0 0.0 1.1 0.0 0.0 0.0 0.0 0.0 0.0 1.5 0.0 2.6 3.0 0.0 0.0 0.0 μB per formula unit in order.